# Zr4As5

A geometry-optimized Zr4As5 structure (PBE-GGA, the Alexandria database).

a b c (Å): 8.455 8.455 5.621
angles (deg): 90.00 90.00 120.00
Fractional positions:
As: 0.284 0.284 0.250
As: 0.667 0.333 0.000
As: 0.000 0.284 0.750
As: 0.667 0.333 0.500
As: 0.716 0.716 0.750
As: 0.716 0.000 0.250
As: 0.333 0.667 0.000
As: 0.284 0.000 0.750
As: 0.333 0.667 0.500
As: 0.000 0.716 0.250
Zr: 0.377 0.377 0.750
Zr: 0.623 0.623 0.250
Zr: 0.000 0.000 0.500
Zr: 0.623 0.000 0.750
Zr: 0.000 0.377 0.250
Zr: 0.000 0.623 0.750
Zr: 0.000 0.000 0.000
Zr: 0.377 0.000 0.250

- Calculated density: 7.06 g cm⁻³
- Crystal system: hexagonal
- DFT formation energy: -704 kJ/mol of formula units
- Symmetry: P6_3/mcm

***

# CsCu2P2Se6

A geometry-optimized CsCu2P2Se6 structure (PBE-GGA, the Alexandria database).

a b c (Å): 6.848 9.668 9.157
angles (deg): 134.19 90.96 65.17
Fractional positions:
Cu: 0.062 0.784 0.817
Cu: 0.938 0.216 0.183
Se: 0.252 0.742 0.560
Se: 0.056 0.370 0.112
Se: 0.696 0.158 0.964
Se: 0.748 0.258 0.440
Se: 0.944 0.630 0.888
Se: 0.304 0.842 0.036
P: 0.318 0.452 0.211
P: 0.682 0.548 0.789
Cs: 0.500 0.000 0.500

- Calculated density: 3.70 g cm⁻³
- Formation energy (no corrections): -0.193 eV/atom
- Crystal system: triclinic
- Symmetry: P-1

***

Question: What is the calculated density in the second record?
Answer: 3.70 g cm⁻³